{"formula": "TbGa2CoRu", "functional": "PBE", "state": "relaxed", "dos_at_fermi_per_ev_cell": 5.747, "e_form_ev_per_atom": -0.405, "total_energy_ev_per_cell": -58.18, "lattice": [[4.252, 0.000, 0.000], [0.000, 4.252, 0.000], [0.000, 0.000, 9.618]], "species": ["Tb", "Tb", "Ga", "Ga", "Ga", "Ga", "Co", "Co", "Ru", "Ru"], "frac_coords": [[0.000, 0.000, 0.000], [0.500, 0.500, 0.500], [0.000, 0.000, 0.368], [0.000, 0.000, 0.632], [0.500, 0.500, 0.132], [0.500, 0.500, 0.868], [0.000, 0.500, 0.250], [0.500, 0.000, 0.750], [0.000, 0.500, 0.750], [0.500, 0.000, 0.250]]}